{
  "formula": "ZrNbIO2",
  "functional": "GGA-PBE",
  "state": "relaxed",
  "dft_energy_ev_per_cell": -34.6,
  "raw_formation_energy_kj_per_mol_atoms": -86.5,
  "space_group": "P4/mmm (123)",
  "e_above_lowest_polymorph_kj_per_mol_atoms": 0.0,
  "cell": [[-1.070, 0.360, 3.968], [-3.546, -1.959, -0.779], [2.724, -5.418, 1.226]],
  "species": ["O", "O", "Nb", "Zr", "I"],
  "fractional_positions": [[0.500, 0.000, 0.000], [0.000, 0.500, 0.000], [0.500, 0.500, 0.500], [0.000, 0.000, 0.000], [0.000, 0.000, 0.500]]
}

=====

{
  "formula": "Nb2OsI2",
  "functional": "GGA-PBE",
  "state": "relaxed",
  "dft_energy_ev_per_cell": -27.3,
  "raw_formation_energy_kj_per_mol_atoms": 138.2,
  "space_group": "I4/mmm (139)",
  "e_above_lowest_polymorph_kj_per_mol_atoms": 52.6,
  "cell": [[-1.522, -0.984, -3.999], [-1.160, -3.988, 1.423], [-6.891, -0.309, 0.290]],
  "species": ["I", "I", "Os", "Nb", "Nb"],
  "fractional_positions": [[0.750, 0.250, 0.500], [0.250, 0.750, 0.500], [0.000, 0.000, 0.000], [0.400, 0.400, 0.199], [0.600, 0.600, 0.801]]
}

=====

{
  "formula": "NbOsI2",
  "functional": "GGA-PBE",
  "state": "relaxed",
  "dft_energy_ev_per_cell": -38.2,
  "raw_formation_energy_kj_per_mol_atoms": 127.7,
  "space_group": "I-42d (122)",
  "e_above_lowest_polymorph_kj_per_mol_atoms": 16.1,
  "cell": [[-5.150, -0.541, -3.342], [2.762, -4.189, -3.579], [-3.094, -6.722, 0.173]],
  "species": ["I", "I", "I", "I", "Os", "Os", "Nb", "Nb"],
  "fractional_positions": [[0.875, 0.895, 0.750], [0.105, 0.625, 0.250], [0.375, 0.355, 0.750], [0.645, 0.125, 0.250], [0.750, 0.250, 0.500], [0.000, 0.000, 0.000], [0.500, 0.500, 0.000], [0.250, 0.750, 0.500]]
}

=====

{
  "formula": "Nb3OsI",
  "functional": "GGA-PBE",
  "state": "relaxed",
  "dft_energy_ev_per_cell": -37.4,
  "raw_formation_energy_kj_per_mol_atoms": 107.7,
  "space_group": "Pm-3m (221)",
  "e_above_lowest_polymorph_kj_per_mol_atoms": 0.0,
  "cell": [[-3.837, 3.121, 0.119], [-2.007, -2.608, 3.694], [2.393, 2.816, 3.289]],
  "species": ["Nb", "Nb", "Nb", "I", "Os"],
  "fractional_positions": [[0.000, 0.500, 0.000], [0.500, 0.000, 0.000], [0.000, 0.000, 0.500], [0.500, 0.500, 0.500], [0.000, 0.000, 0.000]]
}

=====

{
  "formula": "Nb3OsI",
  "functional": "GGA-PBE",
  "state": "relaxed",
  "dft_energy_ev_per_cell": -31.7,
  "raw_formation_energy_kj_per_mol_atoms": 217.3,
  "space_group": "Pm-3m (221)",
  "e_above_lowest_polymorph_kj_per_mol_atoms": 109.6,
  "cell": [[4.893, 0.000, 0.000], [0.000, 4.893, 0.000], [0.000, 0.000, 4.893]],
  "species": ["Nb", "Nb", "Nb", "I", "Os"],
  "fractional_positions": [[0.000, 0.000, 0.500], [0.000, 0.500, 0.000], [0.500, 0.000, 0.000], [0.000, 0.000, 0.000], [0.500, 0.500, 0.500]]
}

=====

{
  "formula": "Nb2OsI",
  "functional": "GGA-PBE",
  "state": "relaxed",
  "dft_energy_ev_per_cell": -57.7,
  "raw_formation_energy_kj_per_mol_atoms": 98.4,
  "space_group": "I-42d (122)",
  "e_above_lowest_polymorph_kj_per_mol_atoms": 35.0,
  "cell": [[5.811, 0.000, 0.000], [0.000, 5.811, 0.000], [2.906, 2.906, 6.556]],
  "species": ["I", "I", "Os", "Os", "Nb", "Nb", "Nb", "Nb"],
  "fractional_positions": [[0.500, 0.500, 0.000], [0.250, 0.750, 0.500], [0.000, 0.000, 0.000], [0.750, 0.250, 0.500], [0.070, 0.625, 0.250], [0.875, 0.930, 0.750], [0.680, 0.125, 0.250], [0.375, 0.320, 0.750]]
}

=====

{
  "formula": "NbOsI2",
  "functional": "GGA-PBE",
  "state": "relaxed",
  "dft_energy_ev_per_cell": -19.8,
  "raw_formation_energy_kj_per_mol_atoms": 111.6,
  "space_group": "Fm-3m (225)",
  "e_above_lowest_polymorph_kj_per_mol_atoms": 0.0,
  "cell": [[0.000, 3.418, 3.418], [3.418, 0.000, 3.418], [3.418, 3.418, 0.000]],
  "species": ["Os", "I", "I", "Nb"],
  "fractional_positions": [[0.500, 0.500, 0.500], [0.250, 0.250, 0.250], [0.750, 0.750, 0.750], [0.000, 0.000, 0.000]]
}

=====

{
  "formula": "Nb2OsI",
  "functional": "GGA-PBE",
  "state": "relaxed",
  "dft_energy_ev_per_cell": -30.3,
  "raw_formation_energy_kj_per_mol_atoms": 63.4,
  "space_group": "Fm-3m (225)",
  "e_above_lowest_polymorph_kj_per_mol_atoms": 0.0,
  "cell": [[0.409, -0.388, 4.664], [-2.911, 2.377, 2.820], [-3.279, -2.293, 2.463]],
  "species": ["Nb", "Nb", "Os", "I"],
  "fractional_positions": [[0.750, 0.750, 0.750], [0.250, 0.250, 0.250], [0.500, 0.500, 0.500], [0.000, 0.000, 0.000]]
}

=====

{
  "formula": "NbOs2I",
  "functional": "GGA-PBE",
  "state": "relaxed",
  "dft_energy_ev_per_cell": -29.4,
  "raw_formation_energy_kj_per_mol_atoms": 113.7,
  "space_group": "Fm-3m (225)",
  "e_above_lowest_polymorph_kj_per_mol_atoms": 0.0,
  "cell": [[0.000, 3.288, 3.288], [3.288, 0.000, 3.288], [3.288, 3.288, 0.000]],
  "species": ["Nb", "I", "Os", "Os"],
  "fractional_positions": [[0.000, 0.000, 0.000], [0.500, 0.500, 0.500], [0.750, 0.750, 0.750], [0.250, 0.250, 0.250]]
}

=====

{
  "formula": "Nb2OsI2",
  "functional": "GGA-PBE",
  "state": "relaxed",
  "dft_energy_ev_per_cell": -60.1,
  "raw_formation_energy_kj_per_mol_atoms": 85.5,
  "space_group": "P4/mbm (127)",
  "e_above_lowest_polymorph_kj_per_mol_atoms": 0.0,
  "cell": [[-5.900, 0.968, -3.427], [-1.669, -6.610, 1.007], [-2.137, 1.150, 4.004]],
  "species": ["Os", "Os", "Nb", "Nb", "Nb", "Nb", "I", "I", "I", "I"],
  "fractional_positions": [[0.000, 0.000, 0.000], [0.500, 0.500, 0.000], [0.850, 0.650, 0.000], [0.650, 0.150, 0.000], [0.150, 0.350, 0.000], [0.350, 0.850, 0.000], [0.832, 0.332, 0.500], [0.168, 0.668, 0.500], [0.668, 0.832, 0.500], [0.332, 0.168, 0.500]]
}

=====

{
  "formula": "NbOs2I",
  "functional": "GGA-PBE",
  "state": "relaxed",
  "dft_energy_ev_per_cell": -57.3,
  "raw_formation_energy_kj_per_mol_atoms": 130.7,
  "space_group": "I-42d (122)",
  "e_above_lowest_polymorph_kj_per_mol_atoms": 17.0,
  "cell": [[-1.909, 0.627, 5.454], [1.721, -5.415, 1.225], [5.230, -0.334, 4.967]],
  "species": ["Os", "Os", "Os", "Os", "I", "I", "Nb", "Nb"],
  "fractional_positions": [[0.133, 0.625, 0.250], [0.875, 0.867, 0.750], [0.375, 0.383, 0.750], [0.617, 0.125, 0.250], [0.750, 0.250, 0.500], [0.000, 0.000, 0.000], [0.500, 0.500, 0.000], [0.250, 0.750, 0.500]]
}

=====

{
  "formula": "NbOs2PdI",
  "functional": "GGA-PBE",
  "state": "relaxed",
  "dft_energy_ev_per_cell": -28.4,
  "raw_formation_energy_kj_per_mol_atoms": 210.7,
  "space_group": "P4/mmm (123)",
  "cell": [[-2.586, 2.542, -3.240], [-4.135, -1.678, 1.983], [-0.082, 3.794, 3.041]],
  "species": ["I", "Os", "Os", "Nb", "Pd"],
  "fractional_positions": [[0.500, 0.500, 0.500], [0.500, 0.000, 0.000], [0.000, 0.000, 0.500], [0.000, 0.500, 0.000], [0.000, 0.000, 0.000]]
}

=====

{
  "formula": "Rb2NbOsI6",
  "functional": "GGA-PBE",
  "state": "relaxed",
  "dft_energy_ev_per_cell": -35.3,
  "raw_formation_energy_kj_per_mol_atoms": -26.6,
  "space_group": "I4/mmm (139)",
  "cell": [[-1.727, -4.445, -6.466], [-5.715, -3.824, 4.156], [-7.540, -0.234, -2.817]],
  "species": ["I", "I", "I", "I", "I", "I", "Rb", "Rb", "Os", "Nb"],
  "fractional_positions": [[0.758, 0.758, 0.000], [0.757, 0.757, 0.485], [0.242, 0.758, 0.000], [0.758, 0.242, 0.000], [0.243, 0.243, 0.515], [0.242, 0.242, 0.000], [0.250, 0.750, 0.500], [0.750, 0.250, 0.500], [0.000, 0.000, 0.000], [0.500, 0.500, 0.000]]
}

=====

{
  "formula": "NbSb2OsI",
  "functional": "GGA-PBE",
  "state": "relaxed",
  "dft_energy_ev_per_cell": -23.4,
  "raw_formation_energy_kj_per_mol_atoms": 149.0,
  "space_group": "P4/mmm (123)",
  "e_above_lowest_polymorph_kj_per_mol_atoms": 34.0,
  "cell": [[-2.736, 3.042, -3.471], [-4.250, -0.088, 3.274], [1.803, 4.428, 2.459]],
  "species": ["Nb", "Os", "Sb", "Sb", "I"],
  "fractional_positions": [[0.000, 0.000, 0.000], [0.500, 0.500, 0.500], [0.000, 0.500, 0.000], [0.500, 0.000, 0.000], [0.000, 0.000, 0.500]]
}

=====

{
  "formula": "NbSb2OsI",
  "functional": "GGA-PBE",
  "state": "relaxed",
  "dft_energy_ev_per_cell": -25.1,
  "raw_formation_energy_kj_per_mol_atoms": 115.0,
  "space_group": "P4/mmm (123)",
  "e_above_lowest_polymorph_kj_per_mol_atoms": 0.0,
  "cell": [[5.043, 0.000, 0.000], [0.000, 5.043, 0.000], [0.000, 0.000, 5.650]],
  "species": ["Sb", "Sb", "Os", "Nb", "I"],
  "fractional_positions": [[0.500, 0.000, 0.000], [0.000, 0.500, 0.000], [0.000, 0.000, 0.000], [0.500, 0.500, 0.500], [0.000, 0.000, 0.500]]
}

=====

{
  "formula": "Nb2TeOsI",
  "functional": "GGA-PBE",
  "state": "relaxed",
  "dft_energy_ev_per_cell": -30.2,
  "raw_formation_energy_kj_per_mol_atoms": 112.6,
  "space_group": "P4/mmm (123)",
  "cell": [[-4.476, 1.049, -2.033], [0.174, -4.439, -2.675], [-2.281, -2.377, 3.796]],
  "species": ["I", "Nb", "Nb", "Te", "Os"],
  "fractional_positions": [[0.000, 0.500, 0.000], [0.500, 0.000, 0.000], [0.000, 0.000, 0.500], [0.500, 0.500, 0.500], [0.000, 0.000, 0.000]]
}

=====

{
  "formula": "ZrNbOs2I",
  "functional": "GGA-PBE",
  "state": "relaxed",
  "dft_energy_ev_per_cell": -34.8,
  "raw_formation_energy_kj_per_mol_atoms": 151.7,
  "space_group": "P4/mmm (123)",
  "cell": [[4.800, 0.000, 0.000], [0.000, 5.168, 0.000], [0.000, 0.000, 4.800]],
  "species": ["Os", "Os", "I", "Zr", "Nb"],
  "fractional_positions": [[0.500, 0.000, 0.000], [0.000, 0.000, 0.500], [0.000, 0.500, 0.000], [0.500, 0.500, 0.500], [0.000, 0.000, 0.000]]
}

=====

{
  "formula": "NbPI3",
  "functional": "GGA-PBE",
  "state": "relaxed",
  "dft_energy_ev_per_cell": -15.3,
  "raw_formation_energy_kj_per_mol_atoms": 92.4,
  "space_group": "Pm-3m (221)",
  "cell": [[5.471, 0.000, 0.000], [0.000, 5.471, 0.000], [0.000, 0.000, 5.471]],
  "species": ["I", "I", "I", "Nb", "P"],
  "fractional_positions": [[0.000, 0.500, 0.000], [0.500, 0.000, 0.000], [0.000, 0.000, 0.500], [0.500, 0.500, 0.500], [0.000, 0.000, 0.000]]
}

=====

{
  "formula": "NbP2I",
  "functional": "GGA-PBE",
  "state": "relaxed",
  "dft_energy_ev_per_cell": -41.9,
  "raw_formation_energy_kj_per_mol_atoms": 36.4,
  "space_group": "I-42d (122)",
  "e_above_lowest_polymorph_kj_per_mol_atoms": 0.0,
  "cell": [[-2.383, 0.472, -5.980], [1.521, -6.176, -1.094], [-5.522, -4.443, -1.634]],
  "species": ["P", "P", "P", "P", "Nb", "Nb", "I", "I"],
  "fractional_positions": [[0.215, 0.625, 0.250], [0.375, 0.465, 0.750], [0.875, 0.785, 0.750], [0.535, 0.125, 0.250], [0.500, 0.500, 0.000], [0.250, 0.750, 0.500], [0.750, 0.250, 0.500], [0.000, 0.000, 0.000]]
}

=====

{
  "formula": "NbPI2",
  "functional": "GGA-PBE",
  "state": "relaxed",
  "dft_energy_ev_per_cell": -15.6,
  "raw_formation_energy_kj_per_mol_atoms": 71.6,
  "space_group": "Fm-3m (225)",
  "e_above_lowest_polymorph_kj_per_mol_atoms": 64.3,
  "cell": [[-4.061, -1.132, 2.660], [-4.410, -0.495, -2.271], [-2.088, -4.506, -0.435]],
  "species": ["I", "I", "Nb", "P"],
  "fractional_positions": [[0.750, 0.750, 0.750], [0.250, 0.250, 0.250], [0.500, 0.500, 0.500], [0.000, 0.000, 0.000]]
}

=====

{
  "formula": "Nb2PI",
  "functional": "GGA-PBE",
  "state": "relaxed",
  "dft_energy_ev_per_cell": -51.5,
  "raw_formation_energy_kj_per_mol_atoms": 33.1,
  "space_group": "I-42d (122)",
  "cell": [[-2.882, -0.637, 3.960], [-1.185, -4.523, -1.590], [4.019, -5.547, 5.113]],
  "species": ["P", "P", "Nb", "Nb", "Nb", "Nb", "I", "I"],
  "fractional_positions": [[0.500, 0.500, 0.000], [0.250, 0.750, 0.500], [0.375, 0.456, 0.750], [0.875, 0.794, 0.750], [0.206, 0.625, 0.250], [0.544, 0.125, 0.250], [0.750, 0.250, 0.500], [0.000, 0.000, 0.000]]
}

=====

{
  "formula": "NbP2I",
  "functional": "GGA-PBE",
  "state": "relaxed",
  "dft_energy_ev_per_cell": -19.6,
  "raw_formation_energy_kj_per_mol_atoms": 69.3,
  "space_group": "Fm-3m (225)",
  "e_above_lowest_polymorph_kj_per_mol_atoms": 32.9,
  "cell": [[-0.050, -4.548, 1.067], [-3.008, -1.619, 3.187], [-3.596, -2.671, -1.326]],
  "species": ["P", "P", "Nb", "I"],
  "fractional_positions": [[0.250, 0.250, 0.250], [0.750, 0.750, 0.750], [0.000, 0.000, 0.000], [0.500, 0.500, 0.500]]
}

=====

{
  "formula": "NbPI",
  "functional": "GGA-PBE",
  "state": "relaxed",
  "dft_energy_ev_per_cell": -34.3,
  "raw_formation_energy_kj_per_mol_atoms": -3.8,
  "space_group": "C2/m (12)",
  "cell": [[3.742, 0.000, 0.000], [-1.871, 7.179, -1.251], [0.000, -2.558, 7.639]],
  "species": ["P", "P", "Nb", "Nb", "I", "I"],
  "fractional_positions": [[0.497, 0.994, 0.139], [0.503, 0.006, 0.861], [0.015, 0.030, 0.335], [0.985, 0.970, 0.665], [0.818, 0.636, 0.303], [0.182, 0.364, 0.697]]
}

=====

{
  "formula": "NbPI2",
  "functional": "GGA-PBE",
  "state": "relaxed",
  "dft_energy_ev_per_cell": -36.6,
  "raw_formation_energy_kj_per_mol_atoms": 7.3,
  "space_group": "I-42d (122)",
  "e_above_lowest_polymorph_kj_per_mol_atoms": 0.0,
  "cell": [[-2.477, 2.873, 9.686], [1.259, -9.807, 3.231], [1.717, -3.017, 6.919]],
  "species": ["I", "I", "I", "I", "Nb", "Nb", "P", "P"],
  "fractional_positions": [[0.375, 0.224, 0.750], [0.974, 0.625, 0.250], [0.776, 0.125, 0.250], [0.875, 0.026, 0.750], [0.000, 0.000, 0.000], [0.750, 0.250, 0.500], [0.500, 0.500, 0.000], [0.250, 0.750, 0.500]]
}

=====

{
  "formula": "Nb2PI",
  "functional": "GGA-PBE",
  "state": "relaxed",
  "dft_energy_ev_per_cell": -26.6,
  "raw_formation_energy_kj_per_mol_atoms": 13.2,
  "space_group": "Fm-3m (225)",
  "cell": [[0.903, -0.383, 4.550], [-1.663, 3.168, 2.978], [-3.404, -1.149, 2.960]],
  "species": ["Nb", "Nb", "I", "P"],
  "fractional_positions": [[0.750, 0.750, 0.750], [0.250, 0.250, 0.250], [0.500, 0.500, 0.500], [0.000, 0.000, 0.000]]
}

=====

{
  "formula": "NbP2PdI",
  "functional": "GGA-PBE",
  "state": "relaxed",
  "dft_energy_ev_per_cell": -23.0,
  "raw_formation_energy_kj_per_mol_atoms": 89.8,
  "space_group": "P4/mmm (123)",
  "cell": [[-3.681, 2.399, 0.977], [-1.094, -3.425, 4.292], [2.437, 2.631, 2.721]],
  "species": ["P", "P", "Pd", "I", "Nb"],
  "fractional_positions": [[0.000, 0.000, 0.500], [0.500, 0.000, 0.000], [0.000, 0.000, 0.000], [0.500, 0.500, 0.500], [0.000, 0.500, 0.000]]
}

=====

{
  "formula": "Rb2NbPI6",
  "functional": "GGA-PBE",
  "state": "relaxed",
  "dft_energy_ev_per_cell": -31.3,
  "raw_formation_energy_kj_per_mol_atoms": -44.5,
  "space_group": "I4/mmm (139)",
  "cell": [[8.664, 0.000, 0.000], [0.000, 8.664, 0.000], [4.332, 4.332, 5.559]],
  "species": ["I", "I", "I", "I", "I", "I", "Nb", "Rb", "Rb", "P"],
  "fractional_positions": [[0.765, 0.765, 0.000], [0.257, 0.257, 0.486], [0.743, 0.743, 0.514], [0.235, 0.765, 0.000], [0.235, 0.235, 0.000], [0.765, 0.235, 0.000], [0.000, 0.000, 0.000], [0.250, 0.750, 0.500], [0.750, 0.250, 0.500], [0.500, 0.500, 0.000]]
}